Entry 1:
Mg2MnAl3S8: relaxed, GGA-PBE.

For the size of the total moment, the calculation gives 4.00 Bohr magnetons per cell. Its symmetry is R-3m (166). For the final energy, the calculation gives -5.117 eV/atom.

a = 7.2375 Å, b = 7.2580 Å, c = 7.2368 Å
α = 60.10°, β = 60.00°, γ = 60.09°
Last column: magnetic moment on the atom in μB.
Fractional positions:
Mg (0.8751, 0.8747, 0.8752)  0.00
Mg (0.1249, 0.1253, 0.1248)  0.00
Mn (0.5000, 0.0000, 0.5000)  3.69
Al (0.5000, 0.5000, 0.5000)  0.01
Al (0.5000, 0.5000, 0.0000)  0.01
Al (0.0000, 0.5000, 0.5000)  0.01
S (0.7399, 0.7337, 0.7401)  -0.01
S (0.2604, 0.2658, 0.7134)  -0.01
S (0.2617, 0.7147, 0.2619)  0.01
S (0.7136, 0.2661, 0.2601)  -0.01
S (0.7383, 0.2853, 0.7381)  0.01
S (0.2864, 0.7340, 0.7398)  -0.01
S (0.2601, 0.2663, 0.2599)  -0.01
S (0.7396, 0.7342, 0.2866)  -0.01


Entry 2:
HfGaSnO6: relaxed, GGA-PBE.

For the size of the total moment, the calculation gives 1.45 Bohr magnetons per cell. Its symmetry is P4_2nm (102). For the final energy, the calculation gives -7.265 eV/atom.

a = 4.7949 Å, b = 4.7949 Å, c = 9.4934 Å
α = 90.00°, β = 90.00°, γ = 90.00°
Last column: magnetic moment on the atom in μB.
Fractional positions:
Hf (0.5000, 0.5000, 0.5020)  -0.02
Hf (0.0000, 0.0000, 0.0020)  -0.02
Ga (0.5000, 0.5000, 0.8334)  -0.01
Ga (0.0000, 0.0000, 0.3334)  -0.01
Sn (0.5000, 0.5000, 0.1656)  -0.01
Sn (0.0000, 0.0000, 0.6656)  -0.01
O (0.1930, 0.8070, 0.4940)  0.10
O (0.8070, 0.1930, 0.4940)  0.10
O (0.3070, 0.3070, 0.9940)  0.10
O (0.6930, 0.6930, 0.9940)  0.10
O (0.1937, 0.8063, 0.1713)  0.07
O (0.8063, 0.1937, 0.1713)  0.07
O (0.3063, 0.3063, 0.6713)  0.07
O (0.6937, 0.6937, 0.6713)  0.07
O (0.7972, 0.2028, 0.8342)  0.14
O (0.2028, 0.7972, 0.8342)  0.14
O (0.7028, 0.7028, 0.3342)  0.14
O (0.2972, 0.2972, 0.3342)  0.14


Entry 3:
LaTlAg2H: relaxed, GGA-PBE.

For the size of the total moment, the calculation gives 0.00 Bohr magnetons per cell. Its symmetry is P4/mmm (123). For the final energy, the calculation gives -3.373 eV/atom.

a = 4.7947 Å, b = 4.7947 Å, c = 4.5647 Å
α = 90.00°, β = 90.00°, γ = 90.00°
Fractional positions:
H (0.0000, 0.0000, 0.0000)
Tl (0.5000, 0.5000, 0.5000)
Ag (0.0000, 0.5000, 0.0000)
Ag (0.5000, 0.0000, 0.0000)
La (0.0000, 0.0000, 0.5000)


Entry 4:
Er3TmPt12: relaxed, GGA-PBE.

For the size of the total moment, the calculation gives 0.00 Bohr magnetons per cell. The value obtained for the formation energy is -1073.9 meV per atom. Its symmetry is P4/mmm (123).

a = 4.1046 Å, b = 4.1046 Å, c = 16.3509 Å
α = 90.00°, β = 90.00°, γ = 90.00°
Fractional positions:
Er (0.0000, 0.0000, 0.2497)
Er (0.0000, 0.0000, 0.5000)
Er (0.0000, 0.0000, 0.7503)
Tm (0.0000, 0.0000, 0.0000)
Pt (0.5000, 0.5000, 0.0000)
Pt (0.5000, 0.5000, 0.2496)
Pt (0.5000, 0.5000, 0.5000)
Pt (0.5000, 0.5000, 0.7504)
Pt (0.5000, 0.0000, 0.1245)
Pt (0.5000, 0.0000, 0.3748)
Pt (0.5000, 0.0000, 0.6252)
Pt (0.5000, 0.0000, 0.8755)
Pt (0.0000, 0.5000, 0.1245)
Pt (0.0000, 0.5000, 0.3748)
Pt (0.0000, 0.5000, 0.6252)
Pt (0.0000, 0.5000, 0.8755)


Entry 5:
Zr2CdOs: relaxed, GGA-PBE.

For the size of the total moment, the calculation gives 0.00 Bohr magnetons per cell. The value obtained for the formation energy is 22.5 meV per atom. Its symmetry is F-43m (216).

a = 4.7492 Å, b = 4.7492 Å, c = 4.7492 Å
α = 60.00°, β = 60.00°, γ = 60.00°
Fractional positions:
Cd (0.5000, 0.5000, 0.5000)
Os (0.7500, 0.7500, 0.7500)
Zr (0.0000, 0.0000, 0.0000)
Zr (0.2500, 0.2500, 0.2500)